No. 1
This record from Alexandria describes a relaxed PmTmOs4 crystal. The functional is PBE.

Output
* raw total energy: -9.24 eV/atom
* theoretical density: 16.2 g cm⁻³
* symmetry: F-43m
* formation energy: -214 meV per atom
* Fermi-level density of states: 0.98 states/eV per atom

a = 5.3755 Å, b = 5.3755 Å, c = 5.3755 Å
α = 60.00°, β = 60.00°, γ = 60.00°
Fractional coordinates of all 6 atoms:
Os1 0.6252 0.6252 0.6252
Os2 0.6252 0.1243 0.6252
Tm1 0.0000 0.0000 0.0000
Os3 0.6252 0.6252 0.1243
Os4 0.1244 0.6252 0.6252
Pm1 0.2500 0.2500 0.2500

No. 2
This record from Alexandria describes a relaxed PmTm3Os crystal. The functional is PBE.

Output
* raw total energy: -5.85 eV/atom
* theoretical density: 9.9 g cm⁻³
* symmetry: C2/m
* E above lowest polymorph: 62.1 meV/atom
* formation energy: 26 meV per atom
* Fermi-level density of states: 1.17 states/eV per atom

a = 3.5940 Å, b = 9.4929 Å, c = 8.7891 Å
α = 105.43°, β = 101.80°, γ = 90.00°
Fractional coordinates of all 10 atoms:
Os1 0.1365 0.0630 0.2730
Tm1 0.6845 0.8736 0.3690
Tm2 0.0966 0.5461 0.1933
Tm3 0.3155 0.1264 0.6310
Tm4 0.9034 0.4539 0.8067
Tm5 0.9991 0.8255 0.9981
Tm6 0.0009 0.1745 0.0019
Pm1 0.6940 0.3121 0.3880
Os2 0.8635 0.9370 0.7270
Pm2 0.3060 0.6879 0.6120

No. 3
This record from Alexandria describes a relaxed PmTmZnOs crystal. The functional is PBE.

Output
* raw total energy: -5.65 eV/atom
* theoretical density: 11.1 g cm⁻³
* symmetry: F-43m
* formation energy: -223 meV per atom
* Fermi-level density of states: 0.82 states/eV per atom

a = 4.9431 Å, b = 4.9431 Å, c = 4.9431 Å
α = 60.00°, β = 60.00°, γ = 60.00°
Fractional coordinates of all 4 atoms:
Pm1 0.7500 0.7500 0.7500
Tm1 0.2500 0.2500 0.2500
Os1 0.5000 0.5000 0.5000
Zn1 0.0000 0.0000 0.0000

No. 4
This record from Alexandria describes a relaxed PmUOs crystal. The functional is PBE.

Output
* raw total energy: -9.05 eV/atom
* theoretical density: 13.8 g cm⁻³
* symmetry: I4mm
* formation energy: 36 meV per atom
* Fermi-level density of states: 1.51 states/eV per atom

a = 3.5310 Å, b = 3.5310 Å, c = 6.0648 Å
α = 106.92°, β = 106.92°, γ = 90.00°
Fractional coordinates of all 3 atoms:
Pm1 0.9992 0.9992 0.9983
U1 0.7009 0.7009 0.4017
Os1 0.3000 0.3000 0.5999

No. 5
This record from Alexandria describes a relaxed Pm2UOs3 crystal. The functional is PBE.

Output
* raw total energy: -9.09 eV/atom
* theoretical density: 12.7 g cm⁻³
* symmetry: Cmcm
* E above lowest polymorph: 241.6 meV/atom
* formation energy: -13 meV per atom
* Fermi-level density of states: 0.88 states/eV per atom

a = 4.9749 Å, b = 7.9210 Å, c = 7.9210 Å
α = 113.23°, β = 90.00°, γ = 90.00°
Fractional coordinates of all 12 atoms:
Os1 0.7500 0.4205 0.4205
Os2 0.2500 0.5795 0.5795
Pm1 0.2500 0.4929 0.1760
Os3 0.0000 0.8410 0.1590
Pm2 0.7500 0.8240 0.5071
U1 0.2500 0.8474 0.8474
U2 0.7500 0.1526 0.1526
Os4 0.5000 0.1590 0.8410
Pm3 0.2500 0.1760 0.4929
Pm4 0.7500 0.5071 0.8240
Os5 0.0000 0.1590 0.8410
Os6 0.5000 0.8410 0.1590

No. 6
This record from Alexandria describes a relaxed Pm2UOs3 crystal. The functional is PBE.

Output
* raw total energy: -9.33 eV/atom
* theoretical density: 14.9 g cm⁻³
* symmetry: P6_3/mmc
* E above lowest polymorph: 0.0 meV/atom
* formation energy: -255 meV per atom
* Fermi-level density of states: 0.35 states/eV per atom

a = 5.8571 Å, b = 5.8571 Å, c = 8.2164 Å
α = 90.00°, β = 90.00°, γ = 120.00°
Fractional coordinates of all 12 atoms:
Os1 0.1660 0.8340 0.2500
Os2 0.8340 0.1660 0.7500
U1 0.0000 0.0000 0.5000
Os3 0.1660 0.3319 0.2500
Pm1 0.6667 0.3333 0.0635
Os4 0.6681 0.8340 0.2500
Os5 0.8340 0.6681 0.7500
Os6 0.3319 0.1660 0.7500
Pm2 0.6667 0.3333 0.4365
Pm3 0.3333 0.6667 0.9365
Pm4 0.3333 0.6667 0.5635
U2 0.0000 0.0000 0.0000